DFT (PBE) results for a relaxed LaHCl2 crystal.

a b c (Å): 7.6237 7.6237 7.6237
angles (deg): 28.71 28.71 28.71
Atoms (fractional coordinates):
H 0.0000 0.0000 0.0000
Cl 0.9276 0.9276 0.9276
Cl 0.0724 0.0724 0.0724
La 0.5000 0.5000 0.5000

Summary:
density = 3.87 Mg/m³
E = -3.9957 eV/atom